#w
DFT (PBE) results for YZn2Ir2 after structural relaxation.

As for the size of the total moment: 0.00 Bohr magnetons per cell. As for the calculated density: 10.93 Mg/m³. The calculation puts the density of states at the Fermi level at 5.100 states/eV per cell.

The space group is I4/mmm (No. 139) and the conventional cell measures 4.0358, 4.0358 and 11.2750 Å, with angles of 90.00, 90.00 and 90.00 degrees. The distinct sites, in fractional coordinates, are Y at (0.0000, 0.0000, 0.0000), Zn at (0.0000, 0.5000, 0.2500) and Ir at (0.0000, 0.0000, 0.3905).

#x
DFT (PBE) results for YZn2Ir2 after structural relaxation.

As for the size of the total moment: 0.00 Bohr magnetons per cell. As for the calculated density: 12.17 Mg/m³. The calculation puts the density of states at the Fermi level at 3.160 states/eV per cell.

The space group is P4/mbm (No. 127) and the conventional cell measures 7.3513, 7.3513 and 3.0497 Å, with angles of 90.00, 90.00 and 90.00 degrees. The distinct sites, in fractional coordinates, are Y at (0.0000, 0.0000, 0.0000), Zn at (0.1194, 0.3806, 0.0000) and Ir at (0.1771, 0.6771, 0.5000).

Which structure loses on stability? #x does.

#w
DFT (PBE) results for YZn2Ir2 after structural relaxation.

As for the size of the total moment: 0.00 Bohr magnetons per cell. As for the calculated density: 11.25 Mg/m³. The calculation puts the density of states at the Fermi level at 10.306 states/eV per cell.

The space group is I4/mmm (No. 139) and the conventional cell measures 3.9623, 3.9623 and 22.7193 Å, with angles of 90.00, 90.00 and 90.00 degrees. The distinct sites, in fractional coordinates, are Y at (0.0000, 0.0000, 0.1294), Zn at (0.0000, 0.0000, 0.3208), Zn at (0.0000, 0.5000, 0.0000), Ir at (0.0000, 0.0000, 0.4296) and Ir at (0.0000, 0.5000, 0.2500).

#x
DFT (PBE) results for YZn2Ir2 after structural relaxation.

As for the size of the total moment: 0.00 Bohr magnetons per cell. As for the calculated density: 11.95 Mg/m³. The calculation puts the density of states at the Fermi level at 2.912 states/eV per cell.

The space group is P4/mbm (No. 127) and the conventional cell measures 7.4010, 7.4010 and 3.0666 Å, with angles of 90.00, 90.00 and 90.00 degrees. The distinct sites, in fractional coordinates, are Y at (0.0000, 0.0000, 0.0000), Zn at (0.1512, 0.3488, 0.5000) and Ir at (0.1440, 0.6440, 0.0000).

Which structure loses on stability? #x does.

#w
DFT (PBE) results for YZnIr3 after structural relaxation.

As for the size of the total moment: 1.54 Bohr magnetons per cell. As for the calculated density: 9.89 Mg/m³. The calculation puts the density of states at the Fermi level at 6.470 states/eV per cell.

The space group is Pm-3m (No. 221) and the conventional cell measures 4.9695, 4.9695 and 4.9695 Å, with angles of 90.00, 90.00 and 90.00 degrees. The distinct sites, in fractional coordinates, are Y at (0.0000, 0.0000, 0.0000), Zn at (0.5000, 0.5000, 0.5000) and Ir at (0.0000, 0.0000, 0.5000).

#x
DFT (PBE) results for YZnIr3 after structural relaxation.

As for the size of the total moment: 0.00 Bohr magnetons per cell. As for the calculated density: 12.66 Mg/m³. The calculation puts the density of states at the Fermi level at 4.658 states/eV per cell.

The space group is Pm-3m (No. 221) and the conventional cell measures 4.5764, 4.5764 and 4.5764 Å, with angles of 90.00, 90.00 and 90.00 degrees. The distinct sites, in fractional coordinates, are Y at (0.0000, 0.0000, 0.0000), Zn at (0.5000, 0.5000, 0.5000) and Ir at (0.0000, 0.5000, 0.5000).

Which structure loses on stability? #w does.

#w
DFT (PBE) results for Y2Zr2Ir after structural relaxation.

As for the size of the total moment: 0.00 Bohr magnetons per cell. As for the calculated density: 7.35 Mg/m³. The calculation puts the density of states at the Fermi level at 14.595 states/eV per cell.

The space group is I4/mmm (No. 139) and the conventional cell measures 3.9171, 3.9171 and 16.2736 Å, with angles of 90.00, 90.00 and 90.00 degrees. The distinct sites, in fractional coordinates, are Y at (0.0000, 0.5000, 0.2500), Zr at (0.0000, 0.0000, 0.0783) and Ir at (0.0000, 0.0000, 0.5000).

#x
DFT (PBE) results for Y2Zr2Ir after structural relaxation.

As for the size of the total moment: 0.00 Bohr magnetons per cell. As for the calculated density: 7.33 Mg/m³. The calculation puts the density of states at the Fermi level at 9.191 states/eV per cell.

The space group is P4/mbm (No. 127) and the conventional cell measures 6.8848, 6.8848 and 5.2793 Å, with angles of 90.00, 90.00 and 90.00 degrees. The distinct sites, in fractional coordinates, are Y at (0.1680, 0.3320, 0.0000), Zr at (0.1505, 0.6505, 0.5000) and Ir at (0.0000, 0.0000, 0.5000).

#y
DFT (PBE) results for Y2Zr2Ir after structural relaxation.

As for the size of the total moment: 0.00 Bohr magnetons per cell. As for the calculated density: 7.20 Mg/m³. The calculation puts the density of states at the Fermi level at 15.096 states/eV per cell.

The space group is P4/mbm (No. 127) and the conventional cell measures 7.0279, 7.0279 and 5.1600 Å, with angles of 90.00, 90.00 and 90.00 degrees. The distinct sites, in fractional coordinates, are Y at (0.1568, 0.3432, 0.0000), Zr at (0.1524, 0.6524, 0.5000) and Ir at (0.0000, 0.0000, 0.0000).

Which structure loses on stability? #w does.